DFT (GGA-PBE) results for a relaxed Ca2SnS crystal.

a = 3.927 Å, b = 3.927 Å, c = 8.495 Å
α = 76.64°, β = 76.64°, γ = 60.00°
Element x y z (fractional)
Sn: 0.500 0.500 0.500
Ca: 0.735 0.735 0.796
Ca: 0.265 0.265 0.204
S: 0.000 0.000 0.000

Summary:
energy relative to the elements, uncorrected	-1.30	eV/atom
Fermi-level density of states	0.38	states/eV/cell
offset from the most stable computed form	0.0000	eV/atom
total energy	-4.3377	eV/atom

---

DFT (GGA-PBE) results for a relaxed Tb4SiHgTe2 crystal.

a = 4.223 Å, b = 7.412 Å, c = 7.621 Å
α = 107.98°, β = 90.00°, γ = 90.00°
Element x y z (fractional)
Tb: 0.000 0.271 0.774
Tb: 0.000 0.729 0.226
Tb: 0.500 0.741 0.761
Tb: 0.500 0.259 0.239
Si: 0.500 0.500 0.000
Te: 0.500 0.000 0.500
Te: 0.000 0.500 0.500
Hg: 0.000 0.000 0.000

Summary:
energy relative to the elements, uncorrected	-0.96	eV/atom
Fermi-level density of states	4.76	states/eV/cell
total energy	-4.7780	eV/atom

---

DFT (GGA-PBE) results for a relaxed LiErCdPt crystal.

a = 4.776 Å, b = 4.776 Å, c = 4.776 Å
α = 60.00°, β = 60.00°, γ = 60.00°
Element x y z (fractional)
Cd: 0.000 0.000 0.000
Er: 0.500 0.500 0.500
Li: 0.250 0.250 0.250
Pt: 0.750 0.750 0.750

Summary:
Fermi-level density of states	4.14	states/eV/cell
total energy	-4.0014	eV/atom
energy relative to the elements	-643	meV/atom

---

Question: total energy of number 3 (LiErCdPt)?
Answer: -4.0014 eV/atom

---

Question: Which formula does entry 3 have?
Answer: LiErCdPt

---

Repeat the first record exactly.
DFT (GGA-PBE) results for a relaxed Ca2SnS crystal.

a = 3.927 Å, b = 3.927 Å, c = 8.495 Å
α = 76.64°, β = 76.64°, γ = 60.00°
Element x y z (fractional)
Sn: 0.500 0.500 0.500
Ca: 0.735 0.735 0.796
Ca: 0.265 0.265 0.204
S: 0.000 0.000 0.000

Summary:
energy relative to the elements, uncorrected	-1.30	eV/atom
Fermi-level density of states	0.38	states/eV/cell
offset from the most stable computed form	0.0000	eV/atom
total energy	-4.3377	eV/atom

---

Question: Look up the total energy of the second one.
Answer: -4.7780 eV/atom